The following is a DFT calculation (PBE-GGA) of a relaxed TiPRuO2 crystal.

The space group is P4/mmm (No. 123) and the conventional cell measures 3.6730, 3.6730 and 5.6102 Å, with angles of 90.00, 90.00 and 90.00 degrees. The asymmetric unit holds Ti at (0.0000, 0.0000, 0.0000), P at (0.0000, 0.0000, 0.5000), Ru at (0.5000, 0.5000, 0.5000) and O at (0.0000, 0.5000, 0.0000).

The calculation puts the volume at 76 Å³ per cell. As for the density of states at the Fermi level: 5.654 states/eV/cell. The value obtained for the uncorrected formation energy is -855 meV/atom.

=====

The following is a DFT calculation (PBE-GGA) of a relaxed RbScIr2 crystal.

The space group is I4_1/amd (No. 141, origin choice 2) and the conventional cell measures 5.1141, 5.1141 and 17.7556 Å, with angles of 90.00, 90.00 and 90.00 degrees. The asymmetric unit holds Rb at (0.0000, 0.2500, 0.3750), Sc at (0.0000, 0.2500, 0.8750) and Ir at (0.0000, 0.0000, 0.0000).

The calculation puts the volume at 464 Å³ per cell. As for the density of states at the Fermi level: 12.834 states/eV/cell. The energy of formation from the pure elements comes out at 0.473 eV/atom.